The following is a DFT calculation (PBE+U) of an optimized crystal structure of Li2Mn3WO8.

```
Li2Mn3WO8
1.0
6.048 0.000 0.000
-3.024 5.238 0.000
0.000 0.000 9.897
O Mn W Li
16 6 2 4
direct
0.667 0.333 0.615 O
0.039 0.520 0.356 O
0.000 0.000 0.295 O
0.961 0.480 0.856 O
0.333 0.667 0.115 O
0.480 0.961 0.356 O
0.173 0.347 0.586 O
0.827 0.173 0.086 O
0.000 0.000 0.795 O
0.520 0.039 0.856 O
0.827 0.653 0.086 O
0.520 0.480 0.856 O
0.480 0.520 0.356 O
0.347 0.173 0.086 O
0.173 0.827 0.586 O
0.653 0.827 0.586 O
0.170 0.340 0.213 Mn
0.170 0.830 0.213 Mn
0.830 0.170 0.713 Mn
0.660 0.830 0.213 Mn
0.340 0.170 0.713 Mn
0.830 0.660 0.713 Mn
0.667 0.333 0.985 W
0.333 0.667 0.485 W
0.667 0.333 0.410 Li
0.000 0.000 0.485 Li
0.000 0.000 0.985 Li
0.333 0.667 0.910 Li
```

Computed properties:
- total DFT energy (no corrections) (eV/atom) = -7.07
- SG = P6_3mc, No. 186